A plane-wave DFT calculation with GGA-PBE was carried out for a relaxed structure of TiMnGa2Ru.

The calculation puts the formation enthalpy at 0 K at 387.0 meV/atom.

The structure belongs to space group P4/mmm (No. 123); the cell edges are 4.7619, 4.7619 and 4.5870 Å and the angles 90.00°, 90.00° and 90.00°. The asymmetric unit holds Ti at (0.0000, 0.0000, 0.0000), Mn at (0.5000, 0.5000, 0.0000), Ga at (0.0000, 0.5000, 0.5000) and Ru at (0.0000, 0.0000, 0.5000).